# V2Ni5Ir2 | Alexandria via LeMat-Bulk | GGA-PBE | relaxed
# crystal system = triclinic
data_V2Ni5Ir2
_chemical_formula_sum 'V2 Ni5 Ir2'
_space_group_name_H-M_alt 'P -1'
_space_group_IT_number 2
_cell_length_a 4.485
_cell_length_b 4.487
_cell_length_c 5.754
_cell_angle_alpha 75.48
_cell_angle_beta 83.14
_cell_angle_gamma 80.97
loop_
_space_group_symop_operation_xyz
'x,y,z'
'-x,-y,-z'
loop_
_atom_site_label
_atom_site_type_symbol
_atom_site_fract_x
_atom_site_fract_y
_atom_site_fract_z
V1 V 0.120 0.062 0.260
Ni1 Ni 0.000 0.500 0.500
Ni2 Ni 0.227 0.604 0.057
Ni3 Ni 0.432 0.719 0.610
Ir1 Ir 0.320 0.171 0.823



# VNi2Ir8 | Alexandria via LeMat-Bulk | GGA-PBE | relaxed
# crystal system = monoclinic
data_VNi2Ir8
_chemical_formula_sum 'V2 Ni4 Ir16'
_space_group_name_H-M_alt 'C 1 2/m 1'
_space_group_IT_number 12
_cell_length_a 13.713
_cell_length_b 3.812
_cell_length_c 6.048
_cell_angle_alpha 90.00
_cell_angle_beta 105.63
_cell_angle_gamma 90.00
loop_
_space_group_symop_operation_xyz
'x,y,z'
'-x,-y,-z'
'-x,y,-z'
'x,-y,z'
'x+1/2,y+1/2,z'
'-x+1/2,-y+1/2,-z'
'-x+1/2,y+1/2,-z'
'x+1/2,-y+1/2,z'
loop_
_atom_site_label
_atom_site_type_symbol
_atom_site_fract_x
_atom_site_fract_y
_atom_site_fract_z
V1 V 0.000 0.000 0.000
Ni1 Ni 0.226 0.500 0.632
Ir1 Ir 0.043 0.500 0.732
Ir2 Ir 0.093 0.000 0.453
Ir3 Ir 0.135 0.500 0.179
Ir4 Ir 0.182 0.000 0.909



# V3Ni3Ir | Alexandria via LeMat-Bulk | GGA-PBE | relaxed
# crystal system = trigonal
data_V3Ni3Ir
_chemical_formula_sum 'V18 Ni18 Ir6'
_space_group_name_H-M_alt 'R -3'
_space_group_IT_number 148
_space_group_name_Hall '-R 3'
_cell_length_a 6.2309
_cell_length_b 6.2309
_cell_length_c 16.4953
_cell_angle_alpha 90.00
_cell_angle_beta 90.00
_cell_angle_gamma 120.00
loop_
_atom_site_label
_atom_site_type_symbol
_atom_site_fract_x
_atom_site_fract_y
_atom_site_fract_z
V1 V 0.0259 0.2521 0.0613
Ni1 Ni 0.0462 0.2659 0.2084
Ir1 Ir 0.0000 0.0000 0.3454



# V2NiIr2 | Alexandria via LeMat-Bulk | GGA-PBE | relaxed
# crystal system = monoclinic
# offset from the most stable computed form = 410 meV per atom
data_V2NiIr2
_chemical_formula_sum 'V4 Ni2 Ir4'
_space_group_name_H-M_alt 'C 1 2/m 1'
_space_group_IT_number 12
_cell_length_a 4.479
_cell_length_b 7.486
_cell_length_c 4.613
_cell_angle_alpha 90.00
_cell_angle_beta 91.86
_cell_angle_gamma 90.00
loop_
_space_group_symop_operation_xyz
'x,y,z'
'-x,-y,-z'
'-x,y,-z'
'x,-y,z'
'x+1/2,y+1/2,z'
'-x+1/2,-y+1/2,-z'
'-x+1/2,y+1/2,-z'
'x+1/2,-y+1/2,z'
loop_
_atom_site_label
_atom_site_type_symbol
_atom_site_fract_x
_atom_site_fract_y
_atom_site_fract_z
V1 V 0.015 0.000 0.269
Ni1 Ni 0.000 0.500 0.000
Ir1 Ir 0.000 0.330 0.500



The evaluated energy of formation for the records listed, in turn: -0.22, -0.15, 0.07, 0.19 eV/atom.
The evaluated Fermi-level density of states for the records listed, in turn: 1.224, 1.017, 1.180, 1.061 states/eV/atom.
The evaluated total DFT energy (no corrections) for the records listed, in turn: -66.9, -186.5, -318.5, -81.5 eV for the cell shown.